Record 1
SrCaCoP2O8 PBE+U relaxed; final energy = -6.83 eV per atom; space group = P-1 (2); V = 14.7 A^3/atom; E above lowest polymorph = 240 meV per atom; total magnetic moment = 2.0 μB/f.u.
1.0
6.165 -0.419 0.091
-1.444 6.819 -0.247
-1.750 -3.432 9.345
Sr Ca Co P O
2 2 2 4 16
Cartesian
-0.512 5.216 0.945 Sr
3.483 -2.248 8.244 Sr
2.940 0.608 3.856 Ca
0.031 2.359 5.333 Ca
1.782 2.703 0.855 Co
1.189 0.264 8.335 Co
-0.237 1.252 2.021 P
3.208 1.716 7.168 P
0.590 -0.984 6.273 P
2.380 3.951 2.916 P
-2.207 3.075 8.016 O
1.250 0.764 2.181 O
-0.884 -1.211 6.433 O
3.351 2.297 0.229 O
1.721 2.203 7.009 O
-0.051 2.654 1.270 O
3.021 0.314 7.919 O
1.541 -2.174 6.382 O
3.854 4.178 2.756 O
1.430 5.142 2.808 O
5.178 -0.107 1.173 O
1.945 2.878 3.913 O
1.025 0.089 5.276 O
-0.951 1.499 3.356 O
-0.380 0.670 8.961 O
3.922 1.469 5.834 O

=====

Record 2
SrCaCoP2O8 PBE+U relaxed; final energy = -7.07 eV per atom; N(E_F) = 0.0 states/eV per cell; space group = P-1 (2); V = 13.0 A^3/atom; E above lowest polymorph = 0 meV per atom; total magnetic moment = 3.0 μB/f.u.
1.0
5.692 -0.028 -0.001
-1.072 6.887 0.009
-1.901 -3.490 8.656
Sr Ca Co P O
2 2 2 4 16
Cartesian
0.519 5.356 0.519 Sr
2.198 -1.988 8.146 Sr
-1.678 0.556 5.724 Ca
4.396 2.812 2.941 Ca
1.652 3.860 4.884 Co
1.066 -0.492 3.781 Co
1.351 2.094 1.934 P
1.367 1.274 6.731 P
4.142 -0.806 2.604 P
-1.425 4.174 6.060 P
2.547 0.737 7.606 O
2.722 2.542 1.392 O
1.434 2.820 6.626 O
4.080 -1.796 5.902 O
-0.004 0.827 7.272 O
-1.764 2.916 5.192 O
4.482 0.452 3.473 O
-0.124 -3.038 7.529 O
1.284 0.549 2.038 O
2.842 6.406 1.135 O
0.171 2.631 1.059 O
1.081 2.698 3.354 O
1.637 0.670 5.310 O
1.806 5.369 3.226 O
-1.363 5.164 2.763 O
0.912 -2.001 5.439 O

=====

Record 3
CaTiCoP3O12 PBE+U relaxed; final energy = -7.40 eV per atom; space group = R3c (161); V = 13.1 A^3/atom; total magnetic moment = 4.1 μB/f.u.
1.0
8.804 -0.014 -0.010
4.565 7.528 -0.010
4.565 2.566 7.077
Ca Ti Co P O
2 2 2 6 24
Cartesian
17.873 10.045 7.034 Ca
8.906 5.006 3.505 Ca
2.633 1.480 1.036 Ti
11.600 6.520 4.565 Ti
6.304 3.543 2.481 Co
15.271 8.583 6.010 Co
5.889 5.393 5.316 P
7.669 5.757 0.274 P
8.904 1.475 3.250 P
9.067 8.612 3.813 P
10.291 4.352 6.788 P
12.071 4.701 1.767 P
4.752 4.605 2.116 O
5.515 2.207 3.604 O
5.933 4.417 6.529 O
6.405 2.558 0.841 O
6.568 6.719 5.654 O
6.651 4.777 4.130 O
6.857 7.084 0.372 O
7.539 4.975 1.592 O
8.072 8.474 2.616 O
8.169 2.814 3.076 O
8.332 8.907 5.131 O
8.773 4.110 7.068 O
9.154 6.038 0.055 O
9.616 1.093 1.917 O
9.779 7.229 3.910 O
9.917 1.653 4.380 O
10.335 5.158 5.455 O
11.053 3.027 6.615 O
11.259 5.246 2.981 O
11.435 3.310 1.445 O
11.598 7.544 6.155 O
11.941 5.672 0.582 O
12.474 7.831 3.520 O
13.175 5.559 4.983 O

=====

Record 4
CaPa2CoO8 PBE+U relaxed; final energy = -8.01 eV per atom; space group = P-3m1 (164); V = 12.6 A^3/atom; total magnetic moment = 1.0 μB/f.u.
1.0
5.153 0.000 0.000
-2.576 4.463 0.000
0.000 0.000 6.554
Ca Pa Co O
1 2 1 8
Cartesian
0.000 0.000 3.277 Ca
2.576 1.488 0.929 Pa
0.000 2.975 5.625 Pa
0.000 0.000 0.000 Co
2.576 2.959 5.497 O
1.302 0.752 5.497 O
3.851 0.752 5.497 O
0.000 1.504 1.057 O
1.274 3.711 1.057 O
-1.274 3.711 1.057 O
2.576 1.488 2.823 O
0.000 2.975 3.730 O

=====

Record 5
CaPaCo2O6 PBE+U relaxed; final energy = -7.35 eV per atom; N(E_F) = 6.3 states/eV per cell; space group = R-3 (148); V = 13.6 A^3/atom; total magnetic moment = 7.0 μB/f.u.
1.0
-1.112 1.506 -5.151
-2.907 -3.314 -3.257
-5.767 1.684 -1.178
Ca Pa Co O
1 1 2 6
Cartesian
0.000 0.000 0.000 Ca
-4.893 -0.062 -4.794 Pa
-8.168 0.335 -6.886 Co
-1.618 -0.459 -2.701 Co
-5.869 0.001 -2.823 O
-5.530 2.043 -4.776 O
-2.800 0.192 -4.165 O
-3.917 -0.125 -6.764 O
-4.256 -2.167 -4.811 O
-6.986 -0.316 -5.422 O

=====

Record 6
CaPaCo2O8 PBE+U relaxed; final energy = -6.89 eV per atom; N(E_F) = 0.3 states/eV per cell; space group = I-4 (82); V = 12.4 A^3/atom; total magnetic moment = 9.0 μB/f.u.
1.0
5.172 0.000 0.000
0.000 5.172 0.000
-2.586 -2.586 5.572
Ca Pa Co O
1 1 2 8
Cartesian
2.586 0.000 2.786 Ca
0.000 0.000 0.000 Pa
2.586 2.586 0.000 Co
0.000 2.586 2.786 Co
3.378 3.948 0.766 O
1.794 1.223 0.766 O
1.375 1.904 3.750 O
-1.375 3.267 3.750 O
-0.682 1.211 1.822 O
0.682 3.961 1.822 O
-1.362 0.792 4.807 O
1.362 -0.792 4.807 O